No. 1
Ag2AsPt at its PBEsol-relaxed geometry, computed with SCAN.

Output
uncorrected energy	-153.3	eV/f.u.
theoretical density	12.27	g cm⁻³

a b c (Å): 4.333 5.508 5.508
angles (deg): 30.01 90.00 90.00
Positions (direct):
Ag 0.000 0.000 0.000
Ag 0.500 0.368 0.368
As 0.000 0.740 0.740
Pt 0.500 0.628 0.628


No. 2
ScIrBr at its PBEsol-relaxed geometry, computed with SCAN.

Output
energy relative to the elements, uncorrected	0.2828	eV per atom
uncorrected energy	-103.9	eV/f.u.
theoretical density	9.16	g cm⁻³

a b c (Å): 4.332 4.332 4.332
angles (deg): 60.00 60.00 60.00
Positions (direct):
Sc 0.000 0.000 0.000
Ir 0.500 0.500 0.500
Br 0.750 0.750 0.750


No. 3
Li2Ge2Pd at its PBEsol-relaxed geometry, computed with SCAN.

Output
uncorrected energy	-78.0	eV/f.u.
theoretical density	5.56	g cm⁻³

a b c (Å): 6.347 6.347 3.940
angles (deg): 90.00 90.00 90.00
Positions (direct):
Li 0.169 0.331 0.000
Li 0.331 0.831 0.000
Li 0.669 0.169 0.000
Li 0.831 0.669 0.000
Ge 0.136 0.636 0.500
Ge 0.364 0.136 0.500
Ge 0.636 0.864 0.500
Ge 0.864 0.364 0.500
Pd 0.000 0.000 0.500
Pd 0.500 0.500 0.500


No. 4
BeNb2PdI at its PBEsol-relaxed geometry, computed with SCAN.

Output
energy relative to the elements, uncorrected	1.7503	eV per atom
uncorrected energy	-131.4	eV/f.u.
theoretical density	6.03	g cm⁻³

a b c (Å): 4.980 4.980 4.752
angles (deg): 90.00 90.00 90.00
Positions (direct):
Be 0.000 0.000 0.000
Nb 0.000 0.500 0.500
Nb 0.500 0.000 0.500
Pd 0.500 0.500 0.000
I 0.500 0.500 0.500